Entry 1:
Below is a relaxed structure of Ta4BePb, with properties calculated at the PBEsol level.

Results
Mass density (g cm⁻³): 13.61
Space group: No. 216
Total DFT energy (no corrections) (eV/atom): -8.926
Crystal system: cubic
Spin magnetization (μB per formula unit): 0.0

```
data_Ta4BePb
_chemical_formula_sum 'Ta4 Be1 Pb1'
_cell_length_a 5.454
_cell_length_b 5.454
_cell_length_c 5.454
_cell_angle_alpha 60.00
_cell_angle_beta 60.00
_cell_angle_gamma 60.00
_space_group_name_H-M_alt 'P 1'
_space_group_IT_number 1
loop_
_space_group_symop_operation_xyz
'x,y,z'
loop_
_atom_site_label
_atom_site_type_symbol
_atom_site_fract_x
_atom_site_fract_y
_atom_site_fract_z
_atom_site_occupancy
Ta1 Ta 0.376 0.376 0.376 1
Ta2 Ta 0.376 0.376 0.872 1
Ta3 Ta 0.376 0.872 0.376 1
Ta4 Ta 0.872 0.376 0.376 1
Be1 Be 0.750 0.750 0.750 1
Pb1 Pb 0.000 0.000 0.000 1
```



Entry 2:
Below is a relaxed structure of Al3ZnHg, with properties calculated at the PBEsol level.

Results
Mass density (g cm⁻³): 5.41
Space group: No. 221
Total DFT energy (no corrections) (eV/atom): -2.432
Crystal system: cubic
Spin magnetization (μB per formula unit): 0.0

```
data_Al3ZnHg
_chemical_formula_sum 'Al3 Zn1 Hg1'
_cell_length_a 4.739
_cell_length_b 4.739
_cell_length_c 4.739
_cell_angle_alpha 90.00
_cell_angle_beta 90.00
_cell_angle_gamma 90.00
_space_group_name_H-M_alt 'P 1'
_space_group_IT_number 1
loop_
_space_group_symop_operation_xyz
'x,y,z'
loop_
_atom_site_label
_atom_site_type_symbol
_atom_site_fract_x
_atom_site_fract_y
_atom_site_fract_z
_atom_site_occupancy
Al1 Al 0.000 0.000 0.500 1
Al2 Al 0.000 0.500 0.000 1
Al3 Al 0.500 0.000 0.000 1
Zn1 Zn 0.000 0.000 0.000 1
Hg1 Hg 0.500 0.500 0.500 1
```



Entry 3:
Below is a relaxed structure of LiMg2Fe, with properties calculated at the PBEsol level.

Results
Mass density (g cm⁻³): 2.72
Space group: No. 166
Total DFT energy (no corrections) (eV/atom): -3.360
Crystal system: trigonal
Spin magnetization (μB per formula unit): 2.3

```
data_LiMg2Fe
_chemical_formula_sum 'Li1 Mg2 Fe1'
_cell_length_a 9.590
_cell_length_b 9.590
_cell_length_c 9.590
_cell_angle_alpha 17.30
_cell_angle_beta 17.30
_cell_angle_gamma 17.30
_space_group_name_H-M_alt 'P 1'
_space_group_IT_number 1
loop_
_space_group_symop_operation_xyz
'x,y,z'
loop_
_atom_site_label
_atom_site_type_symbol
_atom_site_fract_x
_atom_site_fract_y
_atom_site_fract_z
_atom_site_occupancy
Li1 Li 0.000 0.000 0.000 1
Mg1 Mg 0.243 0.243 0.243 1
Mg2 Mg 0.757 0.757 0.757 1
Fe1 Fe 0.500 0.500 0.500 1
```



Entry 4:
Below is a relaxed structure of Cu3WN, with properties calculated at the PBEsol level.

Results
Mass density (g cm⁻³): 11.26
Space group: No. 221
Total DFT energy (no corrections) (eV/atom): -6.181
Crystal system: cubic
Uncorrected formation energy (meV per atom): 887
Spin magnetization (μB per formula unit): 0.0

```
data_Cu3WN
_chemical_formula_sum 'Cu3 W1 N1'
_cell_length_a 3.855
_cell_length_b 3.855
_cell_length_c 3.855
_cell_angle_alpha 90.00
_cell_angle_beta 90.00
_cell_angle_gamma 90.00
_space_group_name_H-M_alt 'P 1'
_space_group_IT_number 1
loop_
_space_group_symop_operation_xyz
'x,y,z'
loop_
_atom_site_label
_atom_site_type_symbol
_atom_site_fract_x
_atom_site_fract_y
_atom_site_fract_z
_atom_site_occupancy
Cu1 Cu 0.000 0.000 0.500 1
Cu2 Cu 0.000 0.500 0.000 1
Cu3 Cu 0.500 0.000 0.000 1
W1 W 0.500 0.500 0.500 1
N1 N 0.000 0.000 0.000 1
```



Entry 5:
Below is a relaxed structure of MgSc2Al, with properties calculated at the PBEsol level.

Results
Mass density (g cm⁻³): 2.83
Space group: No. 47
Total DFT energy (no corrections) (eV/atom): -4.990
Crystal system: orthorhombic
Spin magnetization (μB per formula unit): 0.0
Relative energy among the computed polymorphs (meV/atom): 54

```
data_MgSc2Al
_chemical_formula_sum 'Mg1 Sc2 Al1'
_cell_length_a 3.145
_cell_length_b 4.143
_cell_length_c 6.349
_cell_angle_alpha 90.00
_cell_angle_beta 90.00
_cell_angle_gamma 90.00
_space_group_name_H-M_alt 'P 1'
_space_group_IT_number 1
loop_
_space_group_symop_operation_xyz
'x,y,z'
loop_
_atom_site_label
_atom_site_type_symbol
_atom_site_fract_x
_atom_site_fract_y
_atom_site_fract_z
_atom_site_occupancy
Mg1 Mg 0.000 0.000 0.000 1
Sc1 Sc 0.500 0.500 0.265 1
Sc2 Sc 0.500 0.500 0.735 1
Al1 Al 0.000 0.000 0.500 1
```



Entry 6:
Below is a relaxed structure of Be2TlP, with properties calculated at the PBEsol level.

Results
Mass density (g cm⁻³): 6.79
Space group: No. 99
Total DFT energy (no corrections) (eV/atom): -3.698
Crystal system: tetragonal
Spin magnetization (μB per formula unit): 0.0
Relative energy among the computed polymorphs (meV/atom): 194

```
data_Be2TlP
_chemical_formula_sum 'Be2 Tl1 P1'
_cell_length_a 3.250
_cell_length_b 3.250
_cell_length_c 5.872
_cell_angle_alpha 90.00
_cell_angle_beta 90.00
_cell_angle_gamma 90.00
_space_group_name_H-M_alt 'P 1'
_space_group_IT_number 1
loop_
_space_group_symop_operation_xyz
'x,y,z'
loop_
_atom_site_label
_atom_site_type_symbol
_atom_site_fract_x
_atom_site_fract_y
_atom_site_fract_z
_atom_site_occupancy
Be1 Be 0.000 0.000 0.000 1
Be2 Be 0.500 0.500 0.310 1
Tl1 Tl 0.500 0.500 0.769 1
P1 P 0.000 0.000 0.350 1
```